No. 1
# PBE-GGA MgPaAl2Au2, relaxed
# calculated volume = 19.65 A^3/atom
# E_form = -42 kJ/mol of atoms
data_MgPaAl2Au2
_chemical_formula_sum 'Mg1 Pa1 Al2 Au2'
_space_group_name_H-M_alt 'P 1'
_space_group_IT_number 1
_cell_length_a 4.478
_cell_length_b 4.478
_cell_length_c 6.789
_cell_angle_alpha 90.00
_cell_angle_beta 90.00
_cell_angle_gamma 120.00
loop_
_space_group_symop_operation_xyz
'x,y,z'
loop_
_atom_site_label
_atom_site_fract_x
_atom_site_fract_y
_atom_site_fract_z
Mg1 0.000 0.000 0.500
Pa1 0.000 0.000 0.000
Al1 0.333 0.667 0.720
Al2 0.667 0.333 0.280
Au1 0.333 0.667 0.267
Au2 0.667 0.333 0.733


No. 2
# PBE-GGA Pm2ZnSbPt6, relaxed
# calculated volume = 19.71 A^3/atom
# energy relative to the elements, uncorrected = -0.728 eV per atom
data_Pm2ZnSbPt6
_chemical_formula_sum 'Pm2 Zn1 Sb1 Pt6'
_space_group_name_H-M_alt 'P 1'
_space_group_IT_number 1
_cell_length_a 6.630
_cell_length_b 6.625
_cell_length_c 6.623
_cell_angle_alpha 49.12
_cell_angle_beta 88.36
_cell_angle_gamma 108.44
loop_
_space_group_symop_operation_xyz
'x,y,z'
loop_
_atom_site_label
_atom_site_fract_x
_atom_site_fract_y
_atom_site_fract_z
Pm1 0.257 0.757 0.499
Pm2 0.743 0.243 0.501
Zn1 0.500 0.500 0.000
Sb1 0.000 0.000 0.000
Pt1 0.196 0.687 0.997
Pt2 0.559 0.741 0.183
Pt3 0.195 0.192 0.492
Pt4 0.804 0.313 0.003
Pt5 0.441 0.259 0.817
Pt6 0.805 0.808 0.508


No. 3
# PBE-GGA MgVCr3, relaxed
# calculated volume = 18.13 A^3/atom
# E_form = 103 kJ/mol of atoms
# offset from the most stable computed form = 0 meV/atom
data_MgVCr3
_chemical_formula_sum 'Mg1 V1 Cr3'
_space_group_name_H-M_alt 'P 1'
_space_group_IT_number 1
_cell_length_a 4.492
_cell_length_b 4.492
_cell_length_c 4.492
_cell_angle_alpha 90.00
_cell_angle_beta 90.00
_cell_angle_gamma 90.00
loop_
_space_group_symop_operation_xyz
'x,y,z'
loop_
_atom_site_label
_atom_site_fract_x
_atom_site_fract_y
_atom_site_fract_z
Cr1 0.000 0.500 0.000
Cr2 0.000 0.000 0.500
Cr3 0.500 0.000 0.000
Mg1 0.500 0.500 0.500
V1 0.000 0.000 0.000


| no. | density of states at the Fermi level (states/eV/cell) |
| --- | --- |
| 1 | 4.7 |
| 2 | 6.1 |
| 3 | 5.7 |